(1)
A relaxed PmHSO5 crystal. Source: Alexandria via LeMat-Bulk, functional PBE.

Unit cell a=9.5203 b=9.5203 c=4.4066 alpha=101.25 beta=101.25 gamma=140.00
Closest atoms and distances in Å follow each position.
Fractional positions:
Pm 0.1499 0.8501 0.7500  1 O 2.10
Pm 0.8501 0.1499 0.2500  1 O 2.10
H 0.0000 0.0000 0.0000  2 O 1.24
H 0.0000 0.0000 0.5000  2 O 1.24
S 0.3282 0.6718 0.2500  4 O 1.49
S 0.6718 0.3282 0.7500  4 O 1.49
O 0.0323 0.9677 0.7500  2 H 1.24
O 0.1603 0.5989 0.3855  1 S 1.49
O 0.1685 0.4200 0.9470  1 S 1.49
O 0.4011 0.8397 0.1145  1 S 1.49
O 0.4200 0.1685 0.4470  1 S 1.49
O 0.5800 0.8315 0.5530  1 S 1.49
O 0.5989 0.1603 0.8855  1 S 1.49
O 0.8315 0.5800 0.0530  1 S 1.49
O 0.8397 0.4011 0.6145  1 S 1.49
O 0.9677 0.0323 0.2500  2 H 1.24

Computed properties:
magnetic moment	0.006	μB/f.u.
total DFT energy (no corrections)	-6.563	eV per atom

=====

(2)
A relaxed Pm2SbHO crystal. Source: Alexandria via LeMat-Bulk, functional PBE.

Unit cell a=6.8859 b=6.8859 c=6.8859 alpha=146.54 beta=146.54 gamma=48.05
Closest atoms and distances in Å follow each position.
Fractional positions:
Pm 0.1499 0.1499 0.0000  2 O 2.35, 2 H 2.35
Pm 0.8501 0.8501 0.0000  2 H 2.35, 2 O 2.35
Sb 0.5000 0.5000 0.0000  8 Pm 3.38, 4 H 3.72, 4 O 3.72
H 0.7500 0.2500 0.5000  4 Pm 2.35
O 0.2500 0.7500 0.5000  4 Pm 2.35

Computed properties:
magnetic moment	0.000	μB/f.u.
total DFT energy (no corrections)	-6.166	eV per atom

=====

(3)
A relaxed PmH2Se2O7 crystal. Source: Alexandria via LeMat-Bulk, functional PBE.

Unit cell a=8.3246 b=8.3246 c=8.3246 alpha=37.21 beta=37.21 gamma=37.21
Closest atoms and distances in Å follow each position.
Fractional positions:
Pm 0.0000 0.0000 0.0000  6 O 2.36
H 0.4587 0.4587 0.4587  1 O 0.96
H 0.5413 0.5413 0.5413  1 O 0.96
Se 0.2409 0.2409 0.2409  3 O 1.71
Se 0.7591 0.7591 0.7591  3 O 1.71
O 0.0197 0.4336 0.7321  1 Se 1.71
O 0.2679 0.5664 0.9803  1 Se 1.71
O 0.4336 0.7321 0.0197  1 Se 1.71
O 0.5000 0.5000 0.5000  2 H 0.96
O 0.5664 0.9803 0.2679  1 Se 1.71
O 0.7321 0.0197 0.4336  1 Se 1.71
O 0.9803 0.2679 0.5664  1 Se 1.71

Computed properties:
magnetic moment	1.086	μB/f.u.
total DFT energy (no corrections)	-5.650	eV per atom

=====

(4)
A relaxed Pm2TcHO6 crystal. Source: Alexandria via LeMat-Bulk, functional PBE.

Unit cell a=6.0061 b=6.7410 c=7.6506 alpha=90.00 beta=126.67 gamma=90.00
Closest atoms and distances in Å follow each position.
Fractional positions:
Pm 0.1538 0.1075 0.3577  7 O 2.38-2.66, 1 H 2.42
Pm 0.1538 0.3925 0.8577  7 O 2.38-2.66, 1 H 2.42
Pm 0.8462 0.6075 0.1423  7 O 2.38-2.66, 1 H 2.42
Pm 0.8462 0.8925 0.6423  7 O 2.38-2.66, 1 H 2.42
Tc 0.5000 0.0000 0.0000  6 O 1.94-2.03
Tc 0.5000 0.5000 0.5000  6 O 1.94-2.03
H 0.0000 0.0000 0.0000  2 O 1.18
H 0.0000 0.5000 0.5000  2 O 1.18
O 0.1900 0.0788 0.0205  1 H 1.18
O 0.1900 0.4212 0.5205  1 H 1.18
O 0.2243 0.0733 0.6979  1 Tc 1.94
O 0.2243 0.4267 0.1979  1 Tc 1.94
O 0.3597 0.7224 0.9293  1 Tc 1.99
O 0.3597 0.7776 0.4293  1 Tc 1.99
O 0.6403 0.2224 0.5707  1 Tc 1.99
O 0.6403 0.2776 0.0707  1 Tc 1.99
O 0.7757 0.5733 0.8021  1 Tc 1.94
O 0.7757 0.9267 0.3021  1 Tc 1.94
O 0.8100 0.5788 0.4795  1 H 1.18
O 0.8100 0.9212 0.9795  1 H 1.18

Computed properties:
magnetic moment	2.001	μB/f.u.
total DFT energy (no corrections)	-7.568	eV per atom

=====

(5)
A relaxed PmTcH2O6 crystal. Source: Alexandria via LeMat-Bulk, functional PBE.

Unit cell a=5.2191 b=5.2639 c=5.9160 alpha=92.24 beta=116.15 gamma=116.62
Closest atoms and distances in Å follow each position.
Fractional positions:
Pm 0.0000 0.0000 0.0000  6 O 2.29-2.52
Tc 0.9937 0.4579 0.4918  4 O 1.77-1.82
H 0.4069 0.0447 0.6886  1 O 0.98
H 0.6881 0.7519 0.2986  1 O 0.98
O 0.1563 0.4556 0.2764  1 Tc 1.82
O 0.1773 0.2938 0.7167  1 Tc 1.77
O 0.4728 0.8962 0.7106  1 H 0.98
O 0.5819 0.1534 0.2795  1 Tc 1.77
O 0.8415 0.7319 0.2572  1 H 0.98
O 0.9078 0.6304 0.6999  1 Tc 1.82

Computed properties:
magnetic moment	0.000	μB/f.u.
total DFT energy (no corrections)	-6.877	eV per atom

=====

(6)
A relaxed Pm2TeHO crystal. Source: Alexandria via LeMat-Bulk, functional PBE.

Unit cell a=6.8668 b=6.8668 c=6.8668 alpha=146.34 beta=146.34 gamma=48.35
Closest atoms and distances in Å follow each position.
Fractional positions:
Pm 0.1501 0.1501 0.0000  2 O 2.35, 2 H 2.35
Pm 0.8499 0.8499 0.0000  2 O 2.35, 2 H 2.35
Te 0.5000 0.5000 0.0000  8 Pm 3.38, 4 O 3.71, 4 H 3.71
H 0.2500 0.7500 0.5000  4 Pm 2.35
O 0.7500 0.2500 0.5000  4 Pm 2.35

Computed properties:
magnetic moment	0.598	μB/f.u.
total DFT energy (no corrections)	-6.071	eV per atom

=====

(7)
A relaxed Pm6Tl2HO crystal. Source: Alexandria via LeMat-Bulk, functional PBE.

Unit cell a=7.0541 b=9.8937 c=7.0536 alpha=90.00 beta=90.00 gamma=90.00
Closest atoms and distances in Å follow each position.
Fractional positions:
Pm 0.0048 0.2500 0.0046  1 O 2.45, 1 H 2.54
Pm 0.0048 0.2500 0.4948  1 O 2.45, 1 H 2.54
Pm 0.2500 0.0004 0.2502  1 O 2.47, 1 H 2.48
Pm 0.2500 0.4996 0.2502  1 O 2.47, 1 H 2.48
Pm 0.4952 0.2500 0.0046  1 O 2.45, 1 H 2.54
Pm 0.4952 0.2500 0.4948  1 O 2.45, 1 H 2.54
Pm 0.5048 0.7500 0.5052  1 O 2.45, 1 H 2.54
Pm 0.5048 0.7500 0.9954  1 O 2.45, 1 H 2.54
Pm 0.7500 0.9996 0.7498  1 O 2.47, 1 H 2.48
Pm 0.7500 0.5004 0.7498  1 O 2.47, 1 H 2.48
Pm 0.9952 0.7500 0.5052  1 O 2.45, 1 H 2.54
Pm 0.9952 0.7500 0.9954  1 O 2.45, 1 H 2.54
Tl 0.2500 0.0001 0.7501  12 Pm 3.51-3.53
Tl 0.2500 0.4999 0.7501  12 Pm 3.51-3.53
Tl 0.7500 0.9999 0.2499  12 Pm 3.51-3.53
Tl 0.7500 0.5001 0.2499  12 Pm 3.51-3.53
H 0.2500 0.7500 0.2505  6 Pm 2.48-2.54
H 0.7500 0.2500 0.7495  6 Pm 2.48-2.54
O 0.2500 0.2500 0.2496  6 Pm 2.45-2.47
O 0.7500 0.7500 0.7504  6 Pm 2.45-2.47

Computed properties:
magnetic moment	0.001	μB/f.u.
total DFT energy (no corrections)	-4.967	eV per atom

=====

(8)
A relaxed PmUH2O6 crystal. Source: Alexandria via LeMat-Bulk, functional PBE.

Unit cell a=5.1001 b=5.3867 c=5.9978 alpha=65.46 beta=69.66 gamma=66.29
Closest atoms and distances in Å follow each position.
Fractional positions:
Pm 0.0000 0.0000 0.0000  6 O 2.35-2.38
U 0.5000 0.5000 0.5000  4 O 1.96-1.98
H 0.0908 0.3023 0.2681  1 O 0.99
H 0.9092 0.6977 0.7319  1 O 0.99
O 0.0806 0.7372 0.7354  1 H 0.99
O 0.2654 0.5698 0.2657  1 H 1.97, 1 U 1.98
O 0.4103 0.1433 0.7269  1 U 1.96
O 0.5897 0.8567 0.2731  1 U 1.96
O 0.7346 0.4302 0.7343  1 H 1.97, 1 U 1.98
O 0.9194 0.2628 0.2646  1 H 0.99

Computed properties:
magnetic moment	0.939	μB/f.u.
total DFT energy (no corrections)	-7.547	eV per atom

=====

(9)
A relaxed PrHO crystal. Source: Alexandria via LeMat-Bulk, functional PBE.

Unit cell a=3.9687 b=3.9687 c=3.9687 alpha=60.00 beta=60.00 gamma=60.00
Closest atoms and distances in Å follow each position.
Fractional positions:
Pr 0.0000 0.0000 0.0000  4 O 2.43, 4 H 2.43
H 0.2500 0.2500 0.2500  4 Pr 2.43
O 0.7500 0.7500 0.7500  4 Pr 2.43

Computed properties:
magnetic moment	0.000	μB/f.u.
total DFT energy (no corrections)	-6.490	eV per atom

=====

(10)
A relaxed PrHO crystal. Source: Alexandria via LeMat-Bulk, functional PBE.

Unit cell a=3.8235 b=3.8235 c=5.0320 alpha=90.00 beta=90.00 gamma=120.00
Closest atoms and distances in Å follow each position.
Fractional positions:
Pr 0.0000 0.0000 0.0000  3 O 2.30, 3 H 2.53
H 0.6667 0.3333 0.2475  3 Pr 2.53
O 0.3333 0.6667 0.8736  3 Pr 2.30

Computed properties:
magnetic moment	0.000	μB/f.u.
total DFT energy (no corrections)	-6.162	eV per atom

=====

(11)
A relaxed PrH3O3 crystal. Source: Alexandria via LeMat-Bulk, functional PBE.

Unit cell a=6.5504 b=6.5504 c=3.7795 alpha=90.00 beta=90.00 gamma=120.00
Closest atoms and distances in Å follow each position.
Fractional positions:
Pr 0.3333 0.6667 0.2500  9 O 2.55-2.56
Pr 0.6667 0.3333 0.7500  9 O 2.55-2.56
H 0.1333 0.2772 0.7500  1 O 0.97
H 0.1439 0.8667 0.7500  1 O 0.97
H 0.2772 0.1439 0.2500  1 O 0.97
H 0.7228 0.8561 0.7500  1 O 0.97
H 0.8561 0.1333 0.2500  1 O 0.97
H 0.8667 0.7228 0.2500  1 O 0.97
O 0.0820 0.3934 0.7500  1 H 0.97
O 0.3114 0.9180 0.7500  1 H 0.97
O 0.3934 0.3114 0.2500  1 H 0.97
O 0.6066 0.6886 0.7500  1 H 0.97
O 0.6886 0.0820 0.2500  1 H 0.97
O 0.9180 0.6066 0.2500  1 H 0.97

Computed properties:
magnetic moment	0.000	μB/f.u.
total DFT energy (no corrections)	-6.164	eV per atom

=====

(12)
A relaxed Pr2HO crystal. Source: Alexandria via LeMat-Bulk, functional PBE.

Unit cell a=6.6162 b=6.6162 c=6.6162 alpha=31.61 beta=31.61 gamma=31.61
Closest atoms and distances in Å follow each position.
Fractional positions:
Pr 0.0000 0.0000 0.0000  3 H 2.56, 3 O 2.70
Pr 0.1701 0.1701 0.1701  3 O 2.56, 3 H 2.62
H 0.5875 0.5875 0.5875  6 Pr 2.56-2.62
O 0.4246 0.4246 0.4246  6 Pr 2.56-2.70

Computed properties:
magnetic moment	0.831	μB/f.u.
total DFT energy (no corrections)	-5.798	eV per atom

=====

(13)
A relaxed Pr2H3O crystal. Source: Alexandria via LeMat-Bulk, functional PBE.

Unit cell a=5.5964 b=5.5964 c=5.5964 alpha=90.00 beta=90.00 gamma=90.00
Closest atoms and distances in Å follow each position.
Fractional positions:
Pr 0.0000 0.0000 0.0000  2 O 2.42, 6 H 2.42
Pr 0.0000 0.5000 0.5000  2 O 2.42, 6 H 2.42
Pr 0.5000 0.0000 0.5000  2 O 2.42, 6 H 2.42
Pr 0.5000 0.5000 0.0000  2 O 2.42, 6 H 2.42
H 0.2500 0.2500 0.7500  4 Pr 2.42
H 0.2500 0.7500 0.2500  4 Pr 2.42
H 0.2500 0.7500 0.7500  4 Pr 2.42
H 0.7500 0.2500 0.2500  4 Pr 2.42
H 0.7500 0.2500 0.7500  4 Pr 2.42
H 0.7500 0.7500 0.2500  4 Pr 2.42
O 0.2500 0.2500 0.2500  4 Pr 2.42
O 0.7500 0.7500 0.7500  4 Pr 2.42

Computed properties:
magnetic moment	0.000	μB/f.u.
total DFT energy (no corrections)	-5.407	eV per atom

=====

(14)
A relaxed Pr2HO crystal. Source: Alexandria via LeMat-Bulk, functional PBE.

Unit cell a=6.2861 b=6.2861 c=6.2861 alpha=34.08 beta=34.08 gamma=34.08
Closest atoms and distances in Å follow each position.
Fractional positions:
Pr 0.2445 0.2445 0.2445  3 O 2.54, 3 H 2.65
Pr 0.7555 0.7555 0.7555  3 O 2.54, 3 H 2.65
H 0.0000 0.0000 0.0000  6 Pr 2.65
O 0.5000 0.5000 0.5000  6 Pr 2.54

Computed properties:
magnetic moment	0.000	μB/f.u.
total DFT energy (no corrections)	-5.977	eV per atom

=====

(15)
A relaxed PrHO2 crystal. Source: Alexandria via LeMat-Bulk, functional PBE.

Unit cell a=5.1356 b=5.1356 c=5.1356 alpha=43.01 beta=43.01 gamma=43.01
Closest atoms and distances in Å follow each position.
Fractional positions:
Pr 0.0000 0.0000 0.0000  6 O 2.44
H 0.5000 0.5000 0.5000  2 O 1.23
O 0.4121 0.4121 0.4121  1 H 1.23
O 0.5879 0.5879 0.5879  1 H 1.23

Computed properties:
magnetic moment	0.000	μB/f.u.
total DFT energy (no corrections)	-6.916	eV per atom

=====

(16)
A relaxed PrHO crystal. Source: Alexandria via LeMat-Bulk, functional PBE.

Unit cell a=4.0701 b=4.0745 c=5.6664 alpha=90.00 beta=90.57 gamma=90.00
Closest atoms and distances in Å follow each position.
Fractional positions:
Pr 0.2480 0.2500 0.2853  4 O 2.37, 4 H 2.58-2.62
Pr 0.7520 0.7500 0.7147  4 O 2.37, 4 H 2.58-2.62
H 0.2507 0.7500 0.0006  4 Pr 2.58-2.62, 2 O 2.83-2.84, 4 H 2.88
H 0.7493 0.2500 0.9994  4 Pr 2.58-2.62, 2 O 2.83-2.84, 4 H 2.88
O 0.2493 0.7500 0.5001  4 Pr 2.37
O 0.7507 0.2500 0.4999  4 Pr 2.37

Computed properties:
magnetic moment	0.000	μB/f.u.
total DFT energy (no corrections)	-6.467	eV per atom

=====

(17)
A relaxed PrH3O3 crystal. Source: Alexandria via LeMat-Bulk, functional PBE.

Unit cell a=6.2231 b=6.2231 c=6.2231 alpha=66.42 beta=66.42 gamma=66.42
Closest atoms and distances in Å follow each position.
Fractional positions:
Pr 0.1764 0.1764 0.1764  6 O 2.38-2.44
Pr 0.8236 0.8236 0.8236  6 O 2.38-2.44
H 0.0007 0.2493 0.6897  1 O 0.99
H 0.2493 0.6897 0.0007  1 O 0.99
H 0.3103 0.9993 0.7507  1 O 0.99
H 0.6897 0.0007 0.2493  1 O 0.99
H 0.7507 0.3103 0.9993  1 O 0.99
H 0.9993 0.7507 0.3103  1 O 0.99
O 0.0548 0.1244 0.6041  1 H 0.99
O 0.1244 0.6041 0.0548  1 H 0.99
O 0.3959 0.9452 0.8756  1 H 0.99
O 0.6041 0.0548 0.1244  1 H 0.99
O 0.8756 0.3959 0.9452  1 H 0.99
O 0.9452 0.8756 0.3959  1 H 0.99

Computed properties:
magnetic moment	0.000	μB/f.u.
total DFT energy (no corrections)	-6.126	eV per atom

=====

(18)
A relaxed Pr2H2PtO6 crystal. Source: Alexandria via LeMat-Bulk, functional PBE.

Unit cell a=5.9481 b=5.9481 c=5.9481 alpha=51.09 beta=51.09 gamma=51.09
Closest atoms and distances in Å follow each position.
Fractional positions:
Pr 0.2248 0.2248 0.2248  9 O 2.58-2.59
Pr 0.7752 0.7752 0.7752  9 O 2.58-2.59
H 0.4163 0.4163 0.4163  3 O 1.46
H 0.5837 0.5837 0.5837  3 O 1.46
Pt 0.0000 0.0000 0.0000  6 O 2.04
O 0.2503 0.7416 0.7416  1 H 1.46
O 0.2584 0.2584 0.7497  1 H 1.46
O 0.2584 0.7497 0.2584  1 H 1.46
O 0.7416 0.2503 0.7416  1 H 1.46
O 0.7416 0.7416 0.2503  1 H 1.46
O 0.7497 0.2584 0.2584  1 H 1.46

Computed properties:
magnetic moment	0.000	μB/f.u.
total DFT energy (no corrections)	-6.413	eV per atom

=====

(19)
A relaxed Pr2HPtO6 crystal. Source: Alexandria via LeMat-Bulk, functional PBE.

Unit cell a=5.5865 b=5.5865 c=5.3523 alpha=116.11 beta=116.11 gamma=55.05
Closest atoms and distances in Å follow each position.
Fractional positions:
Pr 0.2399 0.2399 0.2218  5 O 2.35-2.48
Pr 0.7601 0.7601 0.7782  5 O 2.35-2.48
H 0.5000 0.5000 0.0000  4 O 1.81
Pt 0.0000 0.0000 0.5000  6 O 2.01-2.03
O 0.2119 0.6849 0.1883  1 H 1.81, 1 Pt 2.01
O 0.2330 0.2330 0.6553  1 Pt 2.03
O 0.3151 0.7881 0.8117  1 H 1.81, 1 Pt 2.01
O 0.6849 0.2119 0.1883  1 H 1.81, 1 Pt 2.01
O 0.7670 0.7670 0.3447  1 Pt 2.03
O 0.7881 0.3151 0.8117  1 H 1.81, 1 Pt 2.01

Computed properties:
magnetic moment	0.000	μB/f.u.
total DFT energy (no corrections)	-6.525	eV per atom